[1]
Li2Ca2Mg5Al | PBE | optimized geometry

Unit cell a=3.7296 b=11.4846 c=11.4846 alpha=90.00 beta=90.00 gamma=90.00
Positions (direct):
Mg 0.5000 0.9481 0.1927
Mg 0.5000 0.4481 0.3073
Al 0.0000 0.5000 0.5000
Mg 0.5000 0.6927 0.4481
Mg 0.5000 0.8073 0.9481
Mg 0.5000 0.5000 0.0000
Li 0.0000 0.1257 0.6257
Ca 0.0000 0.1792 0.3208
Mg 0.5000 0.5519 0.6927
Mg 0.5000 0.0519 0.8073
Mg 0.5000 0.1927 0.0519
Ca 0.0000 0.8208 0.6792
Li 0.0000 0.6257 0.8743
Li 0.0000 0.8743 0.3743
Mg 0.5000 0.3073 0.5519
Ca 0.0000 0.3208 0.8208
Li 0.0000 0.3743 0.1257
Ca 0.0000 0.6792 0.1792
Al 0.0000 0.0000 0.0000
Mg 0.5000 0.0000 0.5000

Values from the calculation:
Formation enthalpy at 0 K, meV/atom: -14

=====

[2]
SmH8Os2 | PBE | optimized geometry

Unit cell a=4.6573 b=4.6175 c=4.6175 alpha=102.62 beta=89.97 gamma=89.97
Positions (direct):
H 0.8510 0.5400 0.5400
H 0.3484 0.0331 0.7100
H 0.8341 0.7096 0.0337
H 0.3299 0.5397 0.5397
Os 0.5907 0.6398 0.2728
Sm 0.0909 0.1679 0.1679
H 0.5909 0.0285 0.2909
Os 0.5907 0.2728 0.6398
H 0.5909 0.2909 0.0285
H 0.3484 0.7100 0.0331
H 0.8341 0.0337 0.7096

Values from the calculation:
E_tot, eV per atom: -4.981

=====

[3]
MgCd2Ni | PBE | optimized geometry

Unit cell a=5.1485 b=5.1485 c=5.1485 alpha=133.35 beta=133.35 gamma=68.10
Positions (direct):
Mg 0.5000 0.5000 0.0000
Cd 0.0000 0.0000 0.0000
Ni 0.7500 0.2500 0.5000
Cd 0.2500 0.7500 0.5000

Values from the calculation:
Formation enthalpy at 0 K, meV/atom: -23

=====

[4]
La2Zn2HRh2 | PBE | optimized geometry

Unit cell a=4.3194 b=6.0567 c=5.8872 alpha=79.22 beta=68.48 gamma=69.11
Positions (direct):
Zn 0.1568 0.3843 0.3022
Zn 0.8432 0.6157 0.6978
Rh 0.8093 0.3043 0.0771
Rh 0.1907 0.6957 0.9229
La 0.4576 0.8098 0.2750
La 0.5424 0.1902 0.7250
H 0.0000 0.0000 0.0000

Values from the calculation:
E_tot, eV per atom: -4.892

=====

[5]
CoAgIN2 | PBE | optimized geometry

Unit cell a=3.7204 b=3.7204 c=7.9908 alpha=90.00 beta=90.00 gamma=90.00
Positions (direct):
N 0.0000 0.5000 0.0000
N 0.5000 0.0000 0.0000
Ag 0.5000 0.5000 0.5000
Co 0.0000 0.0000 0.0000
I 0.0000 0.0000 0.5000

Values from the calculation:
ΔE to the lowest computed polymorph, eV/f.u.: 0.00

=====

[6]
Fe2PI | PBE | optimized geometry

Unit cell a=5.1335 b=5.1335 c=6.7323 alpha=67.59 beta=67.59 gamma=90.00
Positions (direct):
Fe 0.3750 0.4371 0.7500
P 0.2500 0.7500 0.5000
P 0.5000 0.5000 0.0000
I 0.0000 0.0000 0.0000
Fe 0.5629 0.1250 0.2500
Fe 0.1871 0.6250 0.2500
Fe 0.8750 0.8129 0.7500
I 0.7500 0.2500 0.5000

Values from the calculation:
ΔE to the lowest computed polymorph, eV/f.u.: 0.00

=====

[7]
Tb5DyY12 | PBE | optimized geometry

Unit cell a=15.1178 b=10.6942 c=5.0419 alpha=90.00 beta=90.01 gamma=45.09
Positions (direct):
Y 0.8327 0.6666 0.5000
Y 0.1673 0.3334 0.5000
Y 0.6660 0.0000 0.9999
Y 0.1658 0.0000 0.5000
Dy 0.0000 0.0000 0.0000
Y 0.9993 0.3332 0.0000
Y 0.6675 0.3332 0.0000
Y 0.8342 0.0000 0.5000
Tb 0.5000 0.0000 0.5000
Tb 0.1666 0.6669 0.5000
Y 0.4993 0.3334 0.5000
Y 0.3325 0.6668 0.0000
Y 0.3340 0.0000 0.0001
Tb 0.8335 0.3331 0.5000
Y 0.5007 0.6666 0.5000
Tb 0.3334 0.3333 0.0000
Tb 0.6666 0.6667 0.0000
Y 0.0007 0.6668 0.0000

Values from the calculation:
Formation enthalpy at 0 K, meV/atom: 22

=====

[8]
CaDy2Rh2 | PBE | optimized geometry

Unit cell a=4.4191 b=6.1698 c=9.5001 alpha=77.43 beta=76.55 gamma=69.01
Positions (direct):
Rh 0.3781 0.6295 0.6143
Dy 0.0285 0.6421 0.3010
Rh 0.4451 0.2091 0.9008
Rh 0.6219 0.3705 0.3857
Dy 0.8220 0.2699 0.0861
Dy 0.1780 0.7301 0.9139
Dy 0.9715 0.3579 0.6990
Ca 0.7063 0.9503 0.6371
Rh 0.5549 0.7909 0.0992
Ca 0.2937 0.0497 0.3629

Values from the calculation:
ΔE to the lowest computed polymorph, eV/f.u.: 0.15
Formation enthalpy at 0 K, meV/atom: -560

=====

[9]
Ac2NdGd | PBE | optimized geometry

Unit cell a=5.2553 b=5.4469 c=5.4469 alpha=90.00 beta=90.00 gamma=90.00
Positions (direct):
Ac 0.0000 0.0000 0.5000
Gd 0.5000 0.5000 0.5000
Ac 0.0000 0.5000 0.0000
Nd 0.5000 0.0000 0.0000

Values from the calculation:
ΔE to the lowest computed polymorph, eV/f.u.: 0.00
Formation enthalpy at 0 K, meV/atom: 27

=====

[10]
CaSc2Fe | PBE | optimized geometry

Unit cell a=4.5327 b=3.4023 c=6.5219 alpha=75.24 beta=90.00 gamma=90.00
Positions (direct):
Sc 0.0000 0.8321 0.9721
Sc 0.5000 0.2366 0.1563
Fe 0.5000 0.8866 0.8372
Ca 0.0000 0.5446 0.5345

Values from the calculation:
ΔE to the lowest computed polymorph, eV/f.u.: 1.17
Formation enthalpy at 0 K, meV/atom: 291

=====

[11]
NiAg2Pb2 | PBE | optimized geometry

Unit cell a=7.0547 b=7.0547 c=4.5818 alpha=90.00 beta=90.00 gamma=90.00
Positions (direct):
Ag 0.6423 0.8577 0.5000
Pb 0.8322 0.6678 0.0000
Pb 0.6678 0.1678 0.0000
Pb 0.1678 0.3322 0.0000
Pb 0.3322 0.8322 0.0000
Ag 0.3577 0.1423 0.5000
Ag 0.8577 0.3577 0.5000
Ag 0.1423 0.6423 0.5000
Ni 0.0000 0.0000 0.0000
Ni 0.5000 0.5000 0.0000

Values from the calculation:
ΔE to the lowest computed polymorph, eV/f.u.: 0.02
Formation enthalpy at 0 K, meV/atom: 333

=====

[12]
AcSb2Au | PBE | optimized geometry

Unit cell a=4.7169 b=4.8618 c=4.8618 alpha=90.00 beta=90.00 gamma=90.00
Positions (direct):
Au 0.5000 0.0000 0.0000
Sb 0.0000 0.0000 0.5000
Ac 0.5000 0.5000 0.5000
Sb 0.0000 0.5000 0.0000

Values from the calculation:
ΔE to the lowest computed polymorph, eV/f.u.: 0.63

=====

- What is the formula in the second record?
  SmH8Os2